Entry 1:
# Mg2AlSbN

Crystalline Mg2AlSbN at its relaxed geometry (PBE, Alexandria via LeMat-Bulk).

Cell lengths 4.3691, 4.3691, 4.3238 Å; angles 90.00, 90.00, 90.00 degrees
With the nearest neighbours (Å) after each atom.
Atoms (fractional coordinates):
Mg (0.0000, 0.5000, 0.0000)  2 N 2.18
Mg (0.5000, 0.0000, 0.0000)  2 N 2.18
Al (0.0000, 0.0000, 0.5000)  2 N 2.16
Sb (0.5000, 0.5000, 0.5000)  8 Mg 3.07, 4 Al 3.09
N (0.0000, 0.0000, 0.0000)  2 Al 2.16, 4 Mg 2.18

Total energy ... -21.21 eV/cell
D(E_F) ... 0.229 states/eV/atom
ΔE_f (raw) ... -366 meV/atom

=====

Entry 2:
# La2BeCr

Crystalline La2BeCr at its relaxed geometry (PBE, Alexandria via LeMat-Bulk).

Cell lengths 9.0203, 9.0203, 9.0203 Å; angles 23.89, 23.89, 23.89 degrees
With the nearest neighbours (Å) after each atom.
Atoms (fractional coordinates):
La (0.2469, 0.2469, 0.2469)  3 Be 3.02, 3 Cr 3.13
La (0.7531, 0.7531, 0.7531)  3 Be 3.02, 3 Cr 3.13
Be (0.5000, 0.5000, 0.5000)  6 La 3.02
Cr (0.0000, 0.0000, 0.0000)  6 La 3.13

Total energy ... -20.64 eV/cell
D(E_F) ... 1.028 states/eV/atom
Energy of formation ... 0.640 eV per atom

=====

Entry 3:
# ReMoSe2

Crystalline ReMoSe2 at its relaxed geometry (PBE, Alexandria via LeMat-Bulk).

Cell lengths 2.6107, 4.2890, 6.1897 Å; angles 90.00, 92.39, 90.00 degrees
With the nearest neighbours (Å) after each atom.
Atoms (fractional coordinates):
Re (0.0000, 0.0000, 0.0000)  2 Re 2.61, 4 Se 2.64
Mo (0.0000, 0.0000, 0.5000)  2 Mo 2.61, 4 Se 2.67
Se (0.0868, 0.5000, 0.2482)  2 Se 2.61, 2 Re 2.64, 2 Mo 2.67
Se (0.9132, 0.5000, 0.7518)  2 Se 2.61, 2 Re 2.64, 2 Mo 2.67

Total energy ... -27.41 eV/cell
D(E_F) ... 1.163 states/eV/atom
Energy above the most stable polymorph in this dataset ... 0.785 eV/atom
ΔE_f (raw) ... 709 meV/atom

=====

Entry 4:
# TlPdI2Cl

Crystalline TlPdI2Cl at its relaxed geometry (PBE, Alexandria via LeMat-Bulk).

Cell lengths 5.6138, 5.6138, 4.9443 Å; angles 90.00, 90.00, 90.00 degrees
With the nearest neighbours (Å) after each atom.
Atoms (fractional coordinates):
Tl (0.0000, 0.0000, 0.0000)  8 I 3.74, 4 Cl 3.97
Pd (0.5000, 0.5000, 0.5000)  2 Cl 2.47
I (0.0000, 0.5000, 0.5000)  2 Pd 2.81
I (0.5000, 0.0000, 0.5000)  2 Pd 2.81
Cl (0.5000, 0.5000, 0.0000)  2 Pd 2.47

Total energy ... -14.67 eV/cell
D(E_F) ... 0.451 states/eV/atom
ΔE_f (raw) ... -433 meV/atom